No. 1
## AcTb3S4 (PBE-GGA)

Data for AcTb3S4 after structural relaxation.

The value obtained for the energy is -6.30 eV/atom. For the mass density, the calculation gives 7.46 g cm⁻³.

The space group is P6_3/mmc (No. 194) and the conventional cell measures 3.9838, 3.9838 and 26.9320 Å, with angles of 90.00, 90.00 and 120.00 degrees. Symmetry generates all atoms from Ac at (0.3333, 0.6667, 0.2500), Tb at (0.0000, 0.0000, 0.0000), Tb at (0.3333, 0.6667, 0.6171), S at (0.0000, 0.0000, 0.1755) and S at (0.3333, 0.6667, 0.0587).



No. 2
## HgAs2Ru (PBE-GGA)

Data for HgAs2Ru after structural relaxation.

The value obtained for the energy is -4.71 eV/atom. The formation energy comes out at 10 meV per atom. For the mass density, the calculation gives 8.89 g cm⁻³.

The space group is Imm2 (No. 44) and the conventional cell measures 2.983, 3.046 and 18.571 Å, with angles of 90.00, 90.00 and 90.00 degrees. Symmetry generates all atoms from Hg at (0.000, 0.000, 0.000), As at (0.000, 0.000, 0.346), As at (0.000, 0.500, 0.164) and Ru at (0.000, 0.500, 0.739).



No. 3
## Na5AgHg (PBE-GGA)

Data for Na5AgHg after structural relaxation.

The value obtained for the energy is -1.44 eV/atom. Its offset from the most stable computed form is 0.10 eV per formula unit. The formation energy comes out at -52 meV per atom. For the mass density, the calculation gives 3.42 g cm⁻³.

The space group is Cmcm (No. 63) and the conventional cell measures 8.188, 7.292 and 13.757 Å, with angles of 90.00, 90.00 and 90.00 degrees. Symmetry generates all atoms from Na at (0.000, 0.023, 0.250), Na at (0.215, 0.320, 0.110), Ag at (0.000, 0.000, 0.000) and Hg at (0.000, 0.413, 0.750).



No. 4
## Tl2ZnMo (PBE-GGA)

Data for Tl2ZnMo after structural relaxation.

The value obtained for the energy is -3.62 eV/atom. Its offset from the most stable computed form is 0.44 eV per formula unit. The formation energy comes out at 585 meV per atom. For the mass density, the calculation gives 11.96 g cm⁻³.

The space group is I-4m2 (No. 119) and the conventional cell measures 4.059, 4.059 and 9.612 Å, with angles of 90.00, 90.00 and 90.00 degrees. Symmetry generates all atoms from Tl at (0.000, 0.000, 0.000), Tl at (0.000, 0.500, 0.250), Zn at (0.000, 0.500, 0.750) and Mo at (0.000, 0.000, 0.500).



No. 5
## Si2SbP (PBE-GGA)

Data for Si2SbP after structural relaxation.

The value obtained for the energy is -4.81 eV/atom. Its offset from the most stable computed form is 0.25 eV per formula unit. For the mass density, the calculation gives 4.01 g cm⁻³.

The space group is I-42d (No. 122) and the conventional cell measures 6.383, 6.383 and 8.498 Å, with angles of 90.00, 90.00 and 90.00 degrees. Symmetry generates all atoms from Si at (0.204, 0.250, 0.125), Sb at (0.000, 0.000, 0.500) and P at (0.000, 0.000, 0.000).



No. 6
## K2As2Au (PBE-GGA)

Data for K2As2Au after structural relaxation.

The value obtained for the energy is -3.10 eV/atom. The formation energy comes out at -142 meV per atom. For the mass density, the calculation gives 4.25 g cm⁻³.

The space group is I4/mmm (No. 139) and the conventional cell measures 6.708, 6.708 and 7.373 Å, with angles of 90.00, 90.00 and 90.00 degrees. Symmetry generates all atoms from K at (0.000, 0.500, 0.250), As at (0.000, 0.000, 0.166) and Au at (0.000, 0.000, 0.500).



No. 7
## FeBiSb3 (PBE-GGA)

Data for FeBiSb3 after structural relaxation.

The value obtained for the energy is -3.10 eV/atom. Its offset from the most stable computed form is 7.57 eV per formula unit. For the mass density, the calculation gives 5.45 g cm⁻³.

The space group is Pm-3m (No. 221) and the conventional cell measures 5.768, 5.768 and 5.768 Å, with angles of 90.00, 90.00 and 90.00 degrees. Symmetry generates all atoms from Fe at (0.000, 0.000, 0.000), Bi at (0.500, 0.500, 0.500) and Sb at (0.000, 0.500, 0.500).



No. 8
## Sm2YMg (PBE-GGA)

Data for Sm2YMg after structural relaxation.

The value obtained for the energy is -4.33 eV/atom. Its offset from the most stable computed form is 0.32 eV per formula unit. The formation energy comes out at 42 meV per atom. For the mass density, the calculation gives 5.58 g cm⁻³.

The space group is Fm-3m (No. 225) and the conventional cell measures 7.897, 7.897 and 7.897 Å, with angles of 90.00, 90.00 and 90.00 degrees. Symmetry generates all atoms from Sm at (0.250, 0.250, 0.250), Y at (0.000, 0.000, 0.000) and Mg at (0.000, 0.000, 0.500).



No. 9
## CaTb12Tm6 (PBE-GGA)

Data for CaTb12Tm6 after structural relaxation.

The value obtained for the energy is -4.02 eV/atom. The formation energy comes out at 424 meV per atom. For the mass density, the calculation gives 7.46 g cm⁻³.

The space group is R-3m (No. 166, hexagonal axes) and the conventional cell measures 15.0321, 15.0321 and 10.1017 Å, with angles of 90.00, 90.00 and 120.00 degrees. Symmetry generates all atoms from Ca at (0.0000, 0.0000, 0.0000), Tb at (0.0000, 0.3881, 0.5000), Tb at (0.0738, 0.1476, 0.2895) and Tm at (0.0567, 0.5284, 0.2162).



No. 10
## PmHf2 (PBE-GGA)

Data for PmHf2 after structural relaxation.

The value obtained for the energy is -7.86 eV/atom. Its offset from the most stable computed form is 0.67 eV per formula unit. The formation energy comes out at 360 meV per atom. For the mass density, the calculation gives 10.34 g cm⁻³.

The space group is Fd-3m (No. 227, origin choice 2) and the conventional cell measures 8.640, 8.640 and 8.640 Å, with angles of 90.00, 90.00 and 90.00 degrees. Symmetry generates all atoms from Pm at (0.125, 0.125, 0.125) and Hf at (0.000, 0.000, 0.500).



No. 11
## NdHo2ErTm4 (PBE-GGA)

Data for NdHo2ErTm4 after structural relaxation.

The value obtained for the energy is -4.10 eV/atom. The formation energy comes out at 448 meV per atom. For the mass density, the calculation gives 8.43 g cm⁻³.

The space group is Imma (No. 74) and the conventional cell measures 6.735, 11.657 and 13.215 Å, with angles of 90.00, 90.00 and 90.00 degrees. Symmetry generates all atoms from Nd at (0.000, 0.000, 0.000), Ho at (0.000, 0.000, 0.500), Ho at (0.250, 0.250, 0.250), Er at (0.250, 0.250, 0.750), Tm at (0.000, 0.000, 0.251) and Tm at (0.249, 0.250, 0.501).



No. 12
## AlZn11In (PBE-GGA)

Data for AlZn11In after structural relaxation.

The value obtained for the energy is -1.51 eV/atom. The formation energy comes out at 62 meV per atom. For the mass density, the calculation gives 6.59 g cm⁻³.

The space group is C2/m (No. 12) and the conventional cell measures 5.434, 12.596 and 6.868 Å, with angles of 90.00, 112.49 and 90.00 degrees. Symmetry generates all atoms from Al at (0.000, 0.000, 0.000), Zn at (0.000, 0.500, 0.000), Zn at (0.112, 0.112, 0.720), Zn at (0.171, 0.324, 0.851), Zn at (0.250, 0.250, 0.500) and In at (0.000, 0.500, 0.500).



No. 13
## RbBeGa (PBE-GGA)

Data for RbBeGa after structural relaxation.

The value obtained for the energy is -2.35 eV/atom. Its offset from the most stable computed form is 0.16 eV per formula unit. The formation energy comes out at 221 meV per atom. For the mass density, the calculation gives 2.16 g cm⁻³.

The space group is P1 (No. 1) and the conventional cell measures 4.463, 6.634 and 8.665 Å, with angles of 87.78, 82.22 and 83.77 degrees. Symmetry generates all atoms from Rb at (0.000, 0.000, 0.000), Rb at (0.002, 0.499, 0.502), Be at (0.105, 0.497, 0.105), Be at (0.900, 0.503, 0.900), Ga at (0.416, 0.493, 0.864) and Ga at (0.589, 0.507, 0.141).



No. 14
## CaSi2Ru (PBE-GGA)

Data for CaSi2Ru after structural relaxation.

The value obtained for the energy is -5.38 eV/atom. For the mass density, the calculation gives 4.94 g cm⁻³.

The space group is I-4m2 (No. 119) and the conventional cell measures 3.983, 3.983 and 8.360 Å, with angles of 90.00, 90.00 and 90.00 degrees. Symmetry generates all atoms from Ca at (0.000, 0.000, 0.000), Si at (0.000, 0.000, 0.500), Si at (0.000, 0.500, 0.250) and Ru at (0.000, 0.500, 0.750).



No. 15
## Sm2YNpAs4 (PBE-GGA)

Data for Sm2YNpAs4 after structural relaxation.

The value obtained for the energy is -7.25 eV/atom. The formation energy comes out at -1316 meV per atom. For the mass density, the calculation gives 7.54 g cm⁻³.

The space group is P2/m (No. 10) and the conventional cell measures 7.204, 4.158 and 7.212 Å, with angles of 90.00, 109.30 and 90.00 degrees. Symmetry generates all atoms from Sm at (0.000, 0.000, 0.000), Sm at (0.500, 0.500, 0.000), Y at (0.000, 0.500, 0.500), Np at (0.500, 0.000, 0.500), As at (0.251, 0.000, 0.742) and As at (0.254, 0.500, 0.258).



No. 16
## AlCdCl2 (PBE-GGA)

Data for AlCdCl2 after structural relaxation.

The value obtained for the energy is -2.57 eV/atom. Its offset from the most stable computed form is 0.82 eV per formula unit. For the mass density, the calculation gives 3.32 g cm⁻³.

The space group is Imm2 (No. 44) and the conventional cell measures 3.518, 6.525 and 9.167 Å, with angles of 90.00, 90.00 and 90.00 degrees. Symmetry generates all atoms from Al at (0.000, 0.000, 0.000), Cd at (0.000, 0.500, 0.735), Cl at (0.000, 0.000, 0.456) and Cl at (0.000, 0.500, 0.312).



No. 17
## InTcAs2 (PBE-GGA)

Data for InTcAs2 after structural relaxation.

The value obtained for the energy is -5.37 eV/atom. The formation energy comes out at 231 meV per atom. For the mass density, the calculation gives 7.57 g cm⁻³.

The space group is P2/m (No. 10) and the conventional cell measures 3.743, 4.363 and 4.956 Å, with angles of 90.00, 100.50 and 90.00 degrees. Symmetry generates all atoms from In at (0.000, 0.000, 0.000), Tc at (0.500, 0.000, 0.500) and As at (0.420, 0.500, 0.747).



No. 18
## K3H7W (PBE-GGA)

Data for K3H7W after structural relaxation.

The value obtained for the energy is -3.74 eV/atom. For the mass density, the calculation gives 3.17 g cm⁻³.

The space group is Cm (No. 8) and the conventional cell measures 8.423, 8.624 and 6.114 Å, with angles of 90.00, 133.33 and 90.00 degrees. Symmetry generates all atoms from K at (0.000, 0.000, 0.000), K at (0.483, 0.250, 0.500), H at (0.040, 0.299, 0.004), H at (0.181, 0.500, 0.419), H at (0.197, 0.500, 0.009), H at (0.271, 0.000, 0.583), H at (0.303, 0.118, 0.998) and W at (0.478, 0.000, 0.001).



No. 19
## V7ZnC2 (PBE-GGA)

Data for V7ZnC2 after structural relaxation.

The value obtained for the energy is -8.32 eV/atom. The formation energy comes out at 40 meV per atom. For the mass density, the calculation gives 5.64 g cm⁻³.

The space group is Cmmm (No. 65) and the conventional cell measures 6.387, 10.379 and 3.959 Å, with angles of 90.00, 90.00 and 90.00 degrees. Symmetry generates all atoms from V at (0.000, 0.000, 0.000), V at (0.000, 0.230, 0.500), V at (0.201, 0.366, 0.000), Zn at (0.000, 0.500, 0.500) and C at (0.000, 0.205, 0.000).



No. 20
## Ho2Ni3Ge4Pd (PBE-GGA)

Data for Ho2Ni3Ge4Pd after structural relaxation.

The value obtained for the energy is -5.72 eV/atom. The formation energy comes out at -705 meV per atom. For the mass density, the calculation gives 9.04 g cm⁻³.

The space group is P-4m2 (No. 115) and the conventional cell measures 4.116, 4.116 and 9.790 Å, with angles of 90.00, 90.00 and 90.00 degrees. Symmetry generates all atoms from Ho at (0.000, 0.500, 0.246), Ni at (0.000, 0.500, 0.878), Ni at (0.500, 0.500, 0.500), Ge at (0.000, 0.000, 0.000), Ge at (0.000, 0.500, 0.641), Ge at (0.500, 0.500, 0.000) and Pd at (0.000, 0.000, 0.500).